Here is a relaxed structure of BaSiSe3 from Alexandria via LeMat-Bulk. Energies are from GGA-PBE.

The calculation puts the magnetization at 0.0000 μB per atom. Its uncorrected formation energy is -0.821 eV/atom.

Cell: 5.0445 5.0445 5.0445 Å, 90.00 90.00 90.00°
Fractional positions:
Ba1 0.0000 0.0000 0.0000
Si1 0.5000 0.5000 0.5000
Se1 0.0000 0.5000 0.5000
Se2 0.5000 0.0000 0.5000
Se3 0.5000 0.5000 0.0000

---

Here is a relaxed structure of BaSiSe2 from Alexandria via LeMat-Bulk. Energies are from GGA-PBE.

The calculation puts the magnetization at 0.0000 μB per atom. Its uncorrected formation energy is -0.934 eV/atom.

Cell: 4.5143 4.9872 6.2183 Å, 90.00 111.10 90.00°
Fractional positions:
Ba1 0.0000 0.0000 0.0000
Si1 0.3326 0.5000 0.6647
Se1 0.2907 0.0000 0.5771
Se2 0.5344 0.5000 0.0681

---

Here is a relaxed structure of BaSi3Se from Alexandria via LeMat-Bulk. Energies are from GGA-PBE.

The calculation puts the magnetization at 0.2557 μB per atom. Its uncorrected formation energy is 1.931 eV/atom.

Cell: 5.7436 5.7436 5.7436 Å, 90.00 90.00 90.00°
Fractional positions:
Ba1 0.0000 0.0000 0.0000
Si1 0.0000 0.0000 0.5000
Si2 0.0000 0.5000 0.0000
Si3 0.5000 0.0000 0.0000
Se1 0.5000 0.5000 0.5000

---

Here is a relaxed structure of BaSiSe2 from Alexandria via LeMat-Bulk. Energies are from GGA-PBE.

The calculation puts the magnetization at 0.0000 μB per atom. Its uncorrected formation energy is -0.517 eV/atom.

Cell: 8.6073 8.6073 8.6073 Å, 33.60 33.60 33.60°
Fractional positions:
Ba1 0.0000 0.0000 0.0000
Si1 0.5000 0.5000 0.5000
Se1 0.4013 0.4013 0.4013
Se2 0.5987 0.5987 0.5987

---

Here is a relaxed structure of Ba2SiSe5 from Alexandria via LeMat-Bulk. Energies are from GGA-PBE.

The calculation puts the magnetization at 0.0000 μB per atom. Its uncorrected formation energy is -1.203 eV/atom.

Cell: 6.8504 6.8783 7.0280 Å, 112.90 113.31 101.16°
Fractional positions:
Ba1 0.0000 0.0000 0.0000
Ba2 0.4870 0.5110 0.9962
Si1 0.1059 0.6140 0.3413
Se1 0.0601 0.9498 0.4876
Se2 0.4458 0.5714 0.4896
Se3 0.5408 0.0564 0.0263
Se4 0.8689 0.3722 0.4077
Se5 0.9524 0.4634 0.9358

---

Here is a relaxed structure of BaSiSe2 from Alexandria via LeMat-Bulk. Energies are from GGA-PBE.

The calculation puts the magnetization at 0.0000 μB per atom. Its uncorrected formation energy is -0.543 eV/atom.

Cell: 5.2171 5.2171 3.8904 Å, 90.00 90.00 90.00°
Fractional positions:
Ba1 0.0000 0.0000 0.0000
Si1 0.5000 0.5000 0.0000
Se1 0.0000 0.5000 0.5000
Se2 0.5000 0.0000 0.5000